# Gd2YGe7 PBE-GGA optimized geometry
# E_tot: -5.358 eV per atom
data_Gd2YGe7
_cell_length_a 3.986
_cell_length_b 25.592
_cell_length_c 4.134
_cell_angle_alpha 90.00
_cell_angle_beta 90.00
_cell_angle_gamma 90.00
_space_group_name_H-M_alt 'C m m m'
_space_group_IT_number 65
_space_group_name_Hall '-C 2 2'
loop_
_atom_site_label
_atom_site_type_symbol
_atom_site_fract_x
_atom_site_fract_y
_atom_site_fract_z
Gd1 Gd 0.000 0.184 0.000
Y1 Y 0.000 0.500 0.500
Ge1 Ge 0.000 0.000 0.000
Ge2 Ge 0.000 0.093 0.500
Ge3 Ge 0.000 0.282 0.500
Ge4 Ge 0.000 0.409 0.000